HgPCl2, optimized geometry, DFT PBE-GGA; formation energy without anion corrections = 28.15 kJ/mol of atoms; energy above the lowest structure with this stoichiometry = 1.98 eV per formula unit
1.0
3.2953 0.0000 0.0000
0.0000 3.2953 0.0000
0.0000 0.0000 8.3987
Hg P Cl
1 1 2
direct
0.0000 0.0000 0.0000 Hg
0.5000 0.5000 0.2256 P
0.0000 0.0000 0.4043 Cl
0.5000 0.5000 0.7976 Cl

---

HgP2Cl, optimized geometry, DFT PBE-GGA; formation energy without anion corrections = 51.37 kJ/mol of atoms; energy above the lowest structure with this stoichiometry = 2.48 eV per formula unit
1.0
3.9786 0.0000 0.0000
-1.9893 3.4456 0.0000
0.0000 0.0000 18.8395
Hg P Cl
3 6 3
direct
0.0000 0.0000 0.0000 Hg
0.3333 0.6667 0.6667 Hg
0.6667 0.3333 0.3333 Hg
0.0000 0.0000 0.2694 P
0.0000 0.0000 0.7306 P
0.3333 0.6667 0.3972 P
0.3333 0.6667 0.9361 P
0.6667 0.3333 0.0639 P
0.6667 0.3333 0.6028 P
0.0000 0.0000 0.5000 Cl
0.3333 0.6667 0.1667 Cl
0.6667 0.3333 0.8333 Cl

---

HgP2Cl, optimized geometry, DFT PBE-GGA; formation energy without anion corrections = -8.47 kJ/mol of atoms; energy above the lowest structure with this stoichiometry = 0.00 eV per formula unit
1.0
5.5167 0.0000 0.0000
0.0000 3.3111 0.0000
-1.6885 0.0000 6.0222
Hg P Cl
1 2 1
direct
0.0000 0.0000 0.0000 Hg
0.4767 0.5000 0.7355 P
0.4840 0.0000 0.9801 P
0.0986 0.5000 0.5299 Cl

---

HgP4Cl, optimized geometry, DFT PBE-GGA; formation energy without anion corrections = 16.72 kJ/mol of atoms
1.0
0.0000 4.1532 4.1532
4.1532 0.0000 4.1532
4.1532 4.1532 0.0000
Hg P Cl
1 4 1
direct
0.0000 0.0000 0.0000 Hg
0.2172 0.5943 0.5943 P
0.5943 0.2172 0.5943 P
0.5943 0.5943 0.2172 P
0.5943 0.5943 0.5943 P
0.2500 0.2500 0.2500 Cl

---

Values of N(E_F), in order: 1.26; 5.32; 0.58; 5.16, all in states/eV/cell.
Values of magnetization, in order: 0.00; 0.00; 0.00; 0.00, all in μB/atom.